[1]
A plane-wave DFT calculation with PBE was carried out for crystalline Sm2Cd3Ag2 at its relaxed geometry.

Calculated values
total energy	-2.790	eV per atom
relative energy among the computed polymorphs	0.053	eV per atom
spin magnetization	0.0	μB/cell
density	8.3	g cm⁻³
energy of formation	-0.23	eV per atom

Cell: 4.3260 5.7268 7.4928 Å, 94.54 90.00 112.19°
Positions (direct):
Ag1 0.0913 0.1826 0.6434
Cd1 0.3111 0.6221 0.1282
Cd2 0.0000 0.0000 0.0000
Sm1 0.3782 0.7565 0.6684
Cd3 0.6889 0.3779 0.8718
Sm2 0.6218 0.2435 0.3316
Ag2 0.9087 0.8174 0.3566



[2]
A plane-wave DFT calculation with PBE was carried out for crystalline Sm2CdAg3 at its relaxed geometry.

Calculated values
total energy	-3.339	eV per atom
relative energy among the computed polymorphs	0.091	eV per atom
spin magnetization	0.0	μB/cell
density	8.0	g cm⁻³
energy of formation	-0.19	eV per atom

Cell: 4.1063 4.0394 9.6120 Å, 102.13 102.33 90.00°
Positions (direct):
Ag1 0.7027 0.7027 0.4053
Sm1 0.1306 0.1306 0.2612
Ag2 0.5532 0.5532 0.1063
Sm2 0.8616 0.3616 0.7233
Cd1 0.4535 0.9535 0.9069
Ag3 0.2985 0.7985 0.5969



[3]
A plane-wave DFT calculation with PBE was carried out for crystalline SmCd3Ag3 at its relaxed geometry.

Calculated values
total energy	-1.867	eV per atom
relative energy among the computed polymorphs	0.560	eV per atom
spin magnetization	0.0	μB/cell
density	6.5	g cm⁻³
energy of formation	0.42	eV per atom

Cell: 7.4429 7.4429 7.4429 Å, 90.00 90.00 90.00°
Positions (direct):
Cd1 0.7500 0.0000 0.5000
Cd2 0.5000 0.2500 0.0000
Ag1 0.0000 0.2500 0.5000
Ag2 0.2500 0.5000 0.0000
Ag3 0.0000 0.7500 0.5000
Cd3 0.0000 0.5000 0.7500
Cd4 0.5000 0.7500 0.0000
Ag4 0.7500 0.5000 0.0000
Ag5 0.5000 0.0000 0.2500
Cd5 0.0000 0.5000 0.2500
Sm1 0.5000 0.5000 0.5000
Sm2 0.0000 0.0000 0.0000
Ag6 0.5000 0.0000 0.7500
Cd6 0.2500 0.0000 0.5000



- What is the formula in the third record?
  SmCd3Ag3



- Among the records above, which one has the highest density?
  Sm2Cd3Ag2